DFT (PBE) results for a geometry-optimized CaY2Al structure.

Output
raw total energy: -0.338 Ry per atom
energy relative to the elements: 0.25 eV/f.u.

abc: 6.689 11.223 3.383
angles: 90.00 113.25 90.00
Space group C2/m (No. 12)
Asymmetric unit:
Ca1 0.000 0.000 0.000 (multiplicity 2)
Y1 0.250 0.250 0.500 (multiplicity 4)
Al1 0.000 0.500 0.000 (multiplicity 2)


DFT (PBE) results for a geometry-optimized CaY3Al structure.

Output
raw total energy: -0.292 Ry per atom
offset from the most stable computed form: 857.0 meV per atom
energy relative to the elements: 5.27 eV/f.u.

abc: 5.488 5.488 5.488
angles: 90.00 90.00 90.00
Space group Pm-3m (No. 221)
Asymmetric unit:
Ca1 0.000 0.000 0.000 (multiplicity 1)
Y1 0.000 0.000 0.500 (multiplicity 3)
Al1 0.500 0.500 0.500 (multiplicity 1)


Look up the raw total energy of the first one. -0.338 Ry per atom


Number 2 is which compound? CaY3Al